This record from OQMD via LeMat-Bulk describes Nd2ScN3 after structural relaxation. The functional is PBE-GGA.

a = 3.4926 Å, b = 3.4926 Å, c = 8.5532 Å
α = 90.00°, β = 90.00°, γ = 120.00°
Element x y z (fractional)
Sc 0.0000 0.0000 0.5000
N 0.0000 0.0000 0.0000
Nd 0.3333 0.6667 0.8221
Nd 0.6667 0.3333 0.1779
N 0.3333 0.6667 0.3548
N 0.6667 0.3333 0.6452

Calculated values
SG: P-3m1 (164)
Electronic total energy: -49.4 eV/cell

***

This record from OQMD via LeMat-Bulk describes Ho4AsS3 after structural relaxation. The functional is PBE-GGA.

a = 5.5729 Å, b = 5.5729 Å, c = 5.5729 Å
α = 90.00°, β = 90.00°, γ = 90.00°
Element x y z (fractional)
S 0.5000 0.0000 0.5000
Ho 0.5000 0.5000 0.5000
Ho 0.5000 0.0000 0.0000
S 0.0000 0.5000 0.5000
Ho 0.0000 0.0000 0.5000
As 0.0000 0.0000 0.0000
Ho 0.0000 0.5000 0.0000
S 0.5000 0.5000 0.0000

Calculated values
SG: Pm-3m (221)
Electronic total energy: -50.4 eV/cell

***

This record from OQMD via LeMat-Bulk describes Y2TmGa3AgPd2 after structural relaxation. The functional is PBE-GGA.

a = 3.6907 Å, b = 7.5382 Å, c = 7.5382 Å
α = 119.86°, β = 90.00°, γ = 90.00°
Element x y z (fractional)
Y 0.0000 0.5932 0.9997
Ga 0.5000 0.2712 0.0011
Ga 0.5000 0.7285 0.7285
Ga 0.5000 0.0011 0.2712
Ag 0.0000 0.0022 0.0022
Y 0.0000 0.9997 0.5932
Pd 0.5000 0.6625 0.3346
Tm 0.0000 0.4071 0.4071
Pd 0.5000 0.3346 0.6625

Calculated values
SG: Amm2 (38)
Electronic total energy: -46.4 eV/cell